## BaSb2Te2Au6 (PBE)

Data for a relaxed BaSb2Te2Au6 crystal.

Structure (POSCAR):
```
BaSb2Te2Au6
1.0
6.6095 0.0000 0.0000
1.9598 6.7862 0.0000
0.8239 1.8146 7.2007
Ba Sb Te Au
1 2 2 6
Cartesian
0.0000 0.0000 0.0000 Ba
3.3765 1.7441 0.2116 Sb
6.0168 6.8567 6.9891 Sb
3.5152 6.0448 3.5372 Te
5.8780 2.5560 3.6635 Te
2.3219 4.6318 5.9155 Au
1.6863 1.7819 2.4568 Au
3.3637 4.0073 1.7421 Au
6.0295 4.5935 5.4586 Au
7.7070 6.8189 4.7439 Au
7.0714 3.9690 1.2852 Au
```

Calculated values
As for the space-group type: P-1. The value obtained for the magnetization is 0.000 μB/atom. As for the energy relative to the elements, uncorrected: -2.8 eV/f.u. The value obtained for the total energy is -38.90 eV per formula unit.

## Dy3Zn4Cu2 (PBE)

Data for a relaxed Dy3Zn4Cu2 crystal.

Structure (POSCAR):
```
Dy3Zn4Cu2
1.0
5.1971 -2.1916 0.0000
5.1971 2.1916 0.0000
-3.3372 0.0000 7.7328
Dy Zn Cu
3 4 2
Cartesian
0.0000 0.0000 0.0000 Dy
2.2124 0.0000 2.6741 Dy
4.8447 0.0000 5.0587 Dy
-0.8493 0.0000 2.8841 Zn
-0.2664 0.0000 7.2625 Zn
7.3234 0.0000 0.4703 Zn
7.9064 0.0000 4.8487 Zn
1.7323 0.0000 5.6705 Cu
5.3247 0.0000 2.0624 Cu
```

Calculated values
As for the space-group type: C2/m. The value obtained for the magnetization is 0.000 μB/atom. The value obtained for the total energy is -30.06 eV per formula unit. The value obtained for the distance to the lowest polymorph of the same formula is 0 kJ/mol of formula units. The calculation puts the formation energy at -0.33 eV per atom.

Looking at DOS(E_F) for the records above, in order, we have 2.02; 7.62 states/eV per cell.
Looking at ρ for the records above, in order, we have 9.35; 8.26 Mg/m³.